1.
## NiGe3P (PBE-GGA)

Data for crystalline NiGe3P at its relaxed geometry.

Cell and atoms, written as CIF:
```
data_NiGe3P
_symmetry_space_group_name_H-M 'P m -3 m'
_symmetry_Int_Tables_number 221
_symmetry_space_group_name_Hall '-P 4 2 3'
_cell_length_a 4.682
_cell_length_b 4.682
_cell_length_c 4.682
_cell_angle_alpha 90.00
_cell_angle_beta 90.00
_cell_angle_gamma 90.00
loop_
_atom_site_label
_atom_site_fract_x
_atom_site_fract_y
_atom_site_fract_z
Ni1 0.000 0.000 0.000
Ge1 0.000 0.500 0.500
P1 0.500 0.500 0.500
```

Offset from the most stable computed form, eV/f.u.: 2.94
Calculated formation energy, eV/atom: 0.932
Volume, Å³/cell: 102.6

2.
## NiGeP (PBE-GGA)

Data for crystalline NiGeP at its relaxed geometry.

Cell and atoms, written as CIF:
```
data_NiGeP
_symmetry_space_group_name_H-M 'P 1 21/c 1'
_symmetry_Int_Tables_number 14
_symmetry_space_group_name_Hall '-P 2ybc'
_cell_length_a 5.899
_cell_length_b 5.828
_cell_length_c 5.929
_cell_angle_alpha 90.00
_cell_angle_beta 119.84
_cell_angle_gamma 90.00
loop_
_atom_site_label
_atom_site_fract_x
_atom_site_fract_y
_atom_site_fract_z
Ni1 0.223 0.014 0.493
Ge1 0.338 0.635 0.677
P1 0.160 0.130 0.821
```

Offset from the most stable computed form, eV/f.u.: 0.00
Calculated formation energy, eV/atom: -0.282
Volume, Å³/cell: 176.9

3.
## Ni4Ge2P (PBE-GGA)

Data for crystalline Ni4Ge2P at its relaxed geometry.

Cell and atoms, written as CIF:
```
data_Ni4Ge2P
_symmetry_space_group_name_H-M 'I 4/m m m'
_symmetry_Int_Tables_number 139
_symmetry_space_group_name_Hall '-I 4 2'
_cell_length_a 4.177
_cell_length_b 4.177
_cell_length_c 12.084
_cell_angle_alpha 90.00
_cell_angle_beta 90.00
_cell_angle_gamma 90.00
loop_
_atom_site_label
_atom_site_fract_x
_atom_site_fract_y
_atom_site_fract_z
Ni1 0.000 0.000 0.175
Ni2 0.000 0.500 0.000
Ge1 0.000 0.000 0.366
P1 0.000 0.000 0.000
```

Calculated formation energy, eV/atom: 0.123
Volume, Å³/cell: 210.8

4.
## NiGe3P (PBE-GGA)

Data for crystalline NiGe3P at its relaxed geometry.

Cell and atoms, written as CIF:
```
data_NiGe3P
_symmetry_space_group_name_H-M 'P m -3 m'
_symmetry_Int_Tables_number 221
_symmetry_space_group_name_Hall '-P 4 2 3'
_cell_length_a 4.559
_cell_length_b 4.559
_cell_length_c 4.559
_cell_angle_alpha 90.00
_cell_angle_beta 90.00
_cell_angle_gamma 90.00
loop_
_atom_site_label
_atom_site_fract_x
_atom_site_fract_y
_atom_site_fract_z
Ni1 0.000 0.000 0.000
Ge1 0.000 0.000 0.500
P1 0.500 0.500 0.500
```

Offset from the most stable computed form, eV/f.u.: 0.00
Calculated formation energy, eV/atom: 0.344
Volume, Å³/cell: 94.8